No. 1
La5Tb3Pm: optimized geometry, PBE.

Cell: 10.0773 10.0773 11.5040 Å, 113.60 113.60 38.27°
With the nearest neighbours (Å) after each atom.
Fractional coordinates of all 18 atoms:
La1 0.0272 0.6365 0.2869  4 Tb 3.47-3.70, 3 La 3.52-3.82, 1 Pm 3.58
La2 0.0946 0.9054 0.7500  1 Pm 3.04, 2 La 3.31
La3 0.1534 0.5060 0.6391  4 La 3.31-3.60, 1 Pm 3.58, 1 Tb 3.61
La4 0.3635 0.9728 0.2131  4 Tb 3.47-3.70, 3 La 3.52-3.82, 1 Pm 3.58
La5 0.4940 0.8466 0.8609  4 La 3.31-3.60, 1 Pm 3.58, 1 Tb 3.61
La6 0.5060 0.1534 0.1391  4 La 3.31-3.60, 1 Pm 3.58, 1 Tb 3.61
La7 0.6365 0.0272 0.7869  4 Tb 3.47-3.70, 3 La 3.52-3.82, 1 Pm 3.58
La8 0.8466 0.4940 0.3609  4 La 3.31-3.60, 1 Pm 3.58, 1 Tb 3.61
La9 0.9054 0.0946 0.2500  1 Pm 3.04, 2 La 3.31
La10 0.9728 0.3635 0.7131  4 Tb 3.47-3.70, 3 La 3.52-3.82, 1 Pm 3.58
Tb1 0.0478 0.6318 0.9851  1 Pm 3.44, 5 La 3.47-3.84, 2 Tb 3.55-3.62
Tb2 0.3682 0.9522 0.5149  1 Pm 3.44, 5 La 3.47-3.84, 2 Tb 3.55-3.62
Tb3 0.5000 0.5000 0.0000  2 Pm 3.01
Tb4 0.5000 0.5000 0.5000  2 Pm 3.01
Tb5 0.6318 0.0478 0.4851  1 Pm 3.44, 5 La 3.47-3.84, 2 Tb 3.55-3.62
Tb6 0.9522 0.3682 0.0149  1 Pm 3.44, 5 La 3.47-3.84, 2 Tb 3.55-3.62
Pm1 0.3657 0.6343 0.2500  2 Tb 3.01, 1 La 3.04
Pm2 0.6343 0.3657 0.7500  2 Tb 3.01, 1 La 3.04

Values from the calculation:
- Uncorrected energy: -4.57 eV/atom
- D(E_F): 14.017 states/eV/f.u.
- Energy relative to the lowest polymorph listed for this composition: 0 meV/atom

---

No. 2
La4TbPm5: optimized geometry, PBE.

Cell: 10.7649 10.7649 6.0131 Å, 90.00 90.00 90.00°
With the nearest neighbours (Å) after each atom.
Fractional coordinates of all 20 atoms:
La1 0.0482 0.7500 0.1305  1 Pm 3.11, 1 Tb 3.21, 2 La 3.45
La2 0.2500 0.5482 0.8695  1 Pm 3.11, 1 Tb 3.21, 2 La 3.45
La3 0.2500 0.9518 0.8695  1 Pm 3.11, 1 Tb 3.21, 2 La 3.45
La4 0.4518 0.7500 0.1305  1 Pm 3.11, 1 Tb 3.21, 2 La 3.45
La5 0.5482 0.2500 0.8695  1 Pm 3.11, 1 Tb 3.21, 2 La 3.45
La6 0.7500 0.0482 0.1305  1 Pm 3.11, 1 Tb 3.21, 2 La 3.45
La7 0.7500 0.4518 0.1305  1 Pm 3.11, 1 Tb 3.21, 2 La 3.45
La8 0.9518 0.2500 0.8695  1 Pm 3.11, 1 Tb 3.21, 2 La 3.45
Tb1 0.2500 0.2500 0.8453  4 La 3.21
Tb2 0.7500 0.7500 0.1547  4 La 3.21
Pm1 0.0904 0.0904 0.3454  3 Pm 3.32-3.44, 2 La 3.66
Pm2 0.0904 0.4096 0.3454  3 Pm 3.32-3.44, 2 La 3.66
Pm3 0.2500 0.7500 0.5000  4 La 3.11
Pm4 0.4096 0.0904 0.3454  3 Pm 3.32-3.44, 2 La 3.66
Pm5 0.4096 0.4096 0.3454  3 Pm 3.32-3.44, 2 La 3.66
Pm6 0.5904 0.5904 0.6546  3 Pm 3.32-3.44, 2 La 3.66
Pm7 0.5904 0.9096 0.6546  3 Pm 3.32-3.44, 2 La 3.66
Pm8 0.7500 0.2500 0.5000  4 La 3.11
Pm9 0.9096 0.5904 0.6546  3 Pm 3.32-3.44, 2 La 3.66
Pm10 0.9096 0.9096 0.6546  3 Pm 3.32-3.44, 2 La 3.66

Values from the calculation:
- Uncorrected energy: -4.65 eV/atom
- D(E_F): 12.527 states/eV/f.u.
- Energy relative to the lowest polymorph listed for this composition: 0 meV/atom

---

No. 3
La2Tb3Pm4: optimized geometry, PBE.

Cell: 10.2052 10.2052 8.8071 Å, 99.10 99.10 20.16°
With the nearest neighbours (Å) after each atom.
Fractional coordinates of all 9 atoms:
La1 0.1666 0.1666 0.0397  4 La 3.57-3.96, 4 Pm 3.61-3.78, 4 Tb 3.73-3.76
La2 0.8334 0.8334 0.9603  4 La 3.57-3.96, 4 Pm 3.61-3.78, 4 Tb 3.73-3.76
Tb1 0.3944 0.3944 0.6377  7 Pm 3.51-3.68, 3 Tb 3.54-3.57, 2 La 3.73
Tb2 0.5000 0.5000 0.0000  4 Tb 3.54-3.57, 4 Pm 3.58, 4 La 3.76
Tb3 0.6056 0.6056 0.3623  7 Pm 3.51-3.68, 3 Tb 3.54-3.57, 2 La 3.73
Pm1 0.0489 0.0489 0.6839  4 Pm 3.51-3.57, 6 Tb 3.55-3.68, 1 La 3.61
Pm2 0.2203 0.2203 0.6478  5 Pm 3.51-3.57, 3 Tb 3.51-3.60, 3 La 3.73-3.78
Pm3 0.7797 0.7797 0.3522  5 Pm 3.51-3.57, 3 Tb 3.51-3.60, 3 La 3.73-3.78
Pm4 0.9511 0.9511 0.3161  4 Pm 3.51-3.57, 6 Tb 3.55-3.68, 1 La 3.61

Values from the calculation:
- Uncorrected energy: -4.67 eV/atom
- D(E_F): 13.991 states/eV/f.u.
- Energy relative to the lowest polymorph listed for this composition: 20 meV/atom

---

No. 4
La12Tb6Pm: optimized geometry, PBE.

Cell: 9.3586 9.3586 9.3586 Å, 106.82 106.82 106.82°
With the nearest neighbours (Å) after each atom.
Fractional coordinates of all 19 atoms:
La1 0.1253 0.2854 0.8206  3 La 3.40-3.66, 5 Tb 3.43-3.80, 1 Pm 3.64
La2 0.1794 0.8747 0.7146  3 La 3.40-3.66, 5 Tb 3.43-3.80, 1 Pm 3.64
La3 0.1962 0.4841 0.5793  3 Tb 3.35-3.59, 6 La 3.40-3.68
La4 0.2854 0.8206 0.1253  3 La 3.40-3.66, 5 Tb 3.43-3.80, 1 Pm 3.64
La5 0.4207 0.8038 0.5159  3 Tb 3.35-3.59, 6 La 3.40-3.68
La6 0.4841 0.5793 0.1962  3 Tb 3.35-3.59, 6 La 3.40-3.68
La7 0.5159 0.4207 0.8038  3 Tb 3.35-3.59, 6 La 3.40-3.68
La8 0.5793 0.1962 0.4841  3 Tb 3.35-3.59, 6 La 3.40-3.68
La9 0.7146 0.1794 0.8747  3 La 3.40-3.66, 5 Tb 3.43-3.80, 1 Pm 3.64
La10 0.8038 0.5159 0.4207  3 Tb 3.35-3.59, 6 La 3.40-3.68
La11 0.8206 0.1253 0.2854  3 La 3.40-3.66, 5 Tb 3.43-3.80, 1 Pm 3.64
La12 0.8747 0.7146 0.1794  3 La 3.40-3.66, 5 Tb 3.43-3.80, 1 Pm 3.64
Tb1 0.0823 0.4491 0.1921  6 La 3.35-3.59
Tb2 0.1921 0.0823 0.4491  6 La 3.35-3.59
Tb3 0.4491 0.1921 0.0823  6 La 3.35-3.59
Tb4 0.5509 0.8079 0.9177  6 La 3.35-3.59
Tb5 0.8079 0.9177 0.5509  6 La 3.35-3.59
Tb6 0.9177 0.5509 0.8079  6 La 3.35-3.59
Pm1 0.0000 0.0000 0.0000  6 La 3.64, 6 Tb 3.80

Values from the calculation:
- Uncorrected energy: -4.61 eV/atom
- D(E_F): 33.142 states/eV/f.u.

---

The highest uncorrected energy belongs to which entry? La5Tb3Pm